VASP calculation (PBE) on a relaxed NaTlCu4 crystal.

```
data_NaTlCu4
_cell_length_a 7.248
_cell_length_b 7.248
_cell_length_c 7.248
_cell_angle_alpha 90.00
_cell_angle_beta 90.00
_cell_angle_gamma 90.00
_symmetry_space_group_name_H-M 'F -4 3 m'
_symmetry_Int_Tables_number 216
_symmetry_space_group_name_Hall 'F -4 2 3'
loop_
_atom_site_label
_atom_site_fract_x
_atom_site_fract_y
_atom_site_fract_z
_atom_site_occupancy
Na1 0.000 0.000 0.000 1
Tl1 0.250 0.250 0.750 1
Cu1 0.125 0.125 0.375 1
```

As for the volume: 95 Å³/f.u. For the raw total energy, the calculation gives -19.41 eV per formula unit. The formation energy comes out at 0.111 eV/atom. The value obtained for the size of the total moment is 0.00 μB per atom.